(1)
Density functional theory data (PBE-GGA) for crystalline Pm2YCd at its relaxed geometry.

Properties
The total energy is -4.378 eV per atom. Its crystal system is orthorhombic. The space group is Fmmm. For the energy above the most stable polymorph in this dataset, the calculation gives 0.0 meV/atom. The formation energy comes out at -0.1578 eV/atom.

Cell lengths 9.7343, 9.7329, 5.2110 Å; angles 74.49, 74.46, 31.05 degrees
With the nearest neighbours (Å) after each atom.
Positions (direct):
Pm1 0.0000 0.0000 0.5000  8 Pm 3.57-3.69, 4 Y 3.65
Pm2 0.1357 0.1357 0.8643  4 Cd 3.32, 4 Pm 3.57, 4 Y 3.68-3.69
Pm3 0.5000 0.5000 0.0000  8 Pm 3.57-3.69, 4 Y 3.65
Pm4 0.8643 0.8643 0.1357  4 Cd 3.32, 4 Pm 3.57, 4 Y 3.68-3.69
Y1 0.3583 0.3583 0.6417  4 Cd 3.25
Y2 0.6417 0.6417 0.3583  4 Cd 3.25
Cd1 0.2500 0.2500 0.2500  4 Y 3.25, 4 Pm 3.32
Cd2 0.7500 0.7500 0.7500  4 Y 3.25, 4 Pm 3.32



(2)
Density functional theory data (PBE-GGA) for crystalline Al2ReSb at its relaxed geometry.

Properties
Its formation energy from raw total energies is 33.1 kJ/mol of atoms. The total energy is -5.671 eV per atom. Its crystal system is tetragonal. The space group is I4/mmm.

Cell lengths 5.0282, 5.0282, 5.0282 Å; angles 132.82, 132.82, 68.94 degrees
With the nearest neighbours (Å) after each atom.
Positions (direct):
Al1 0.2500 0.7500 0.5000  4 Al 2.85, 4 Sb 2.89, 4 Re 2.89
Al2 0.7500 0.2500 0.5000  4 Al 2.85, 4 Sb 2.89, 4 Re 2.89
Re1 0.0000 0.0000 0.0000  4 Sb 2.85, 8 Al 2.89
Sb1 0.5000 0.5000 0.0000  4 Re 2.85, 8 Al 2.89



(3)
Density functional theory data (PBE-GGA) for crystalline Ca2PmHoS4 at its relaxed geometry.

Properties
Its formation energy from raw total energies is -197.9 kJ/mol of atoms. The total energy is -5.782 eV per atom. Its crystal system is monoclinic. The space group is P2/m.

Cell lengths 6.8734, 3.9657, 6.9814 Å; angles 90.00, 109.12, 90.00 degrees
With the nearest neighbours (Å) after each atom.
Positions (direct):
Ca1 0.0000 0.0000 0.0000  6 S 2.86
Ca2 0.5000 0.5000 0.0000  6 S 2.80
Pm1 0.0000 0.5000 0.5000  6 S 2.84-2.85
Ho1 0.5000 0.0000 0.5000  6 S 2.79
S1 0.2572 0.0000 0.7509  1 Ho 2.79, 3 Ca 2.80-2.86, 2 Pm 2.85
S2 0.2576 0.5000 0.2540  2 Ho 2.79, 3 Ca 2.80-2.86, 1 Pm 2.84
S3 0.7424 0.5000 0.7460  2 Ho 2.79, 3 Ca 2.80-2.86, 1 Pm 2.84
S4 0.7428 0.0000 0.2491  1 Ho 2.79, 3 Ca 2.80-2.86, 2 Pm 2.85